First-principles (PBE) data for SrLaNiAu2 after structural relaxation, as listed in Alexandria via LeMat-Bulk.

Computed properties:
D(E_F) = 2.24 states/eV per cell
formation enthalpy at 0 K = -43 meV per atom
total DFT energy (no corrections) = -3.832 eV/atom

Cell and atoms, written as POSCAR:
```
SrLaNiAu2
1.0
5.664 0.000 0.000
0.000 5.664 0.000
0.000 0.000 4.926
Sr La Ni Au
1 1 1 2
Cartesian
0.000 0.000 0.000
2.832 2.832 2.463
2.832 2.832 0.000
0.000 2.832 2.463
2.832 0.000 2.463
```